The following is a DFT calculation (meta-GGA SCAN) of BeBI2 at its PBEsol-relaxed geometry.

Output
- V: 185.0 Å³ per cell
- SG: I-42d, No. 122
- Energy relative to the elements, uncorrected: 103.11 kJ/mol of atoms
- E_tot: -20.248 eV/atom
- D(E_F): 0.124 states/eV/atom

The structure in POSCAR format:
```
BeBI2
1.0
-6.0182 1.1658 1.2076
1.2449 -6.0545 -0.9102
-2.0079 -2.4969 5.3637
I B Be
4 2 2
Direct
0.0368 0.4118 0.1250
0.9632 0.8382 0.6250
0.4632 0.6250 0.4118
0.5368 0.1250 0.8382
0.5000 0.2500 0.2500
0.0000 0.0000 0.0000
0.5000 0.7500 0.7500
0.0000 0.5000 0.5000
```


The following is a DFT calculation (meta-GGA SCAN) of KMo2 at its PBEsol-relaxed geometry.

Output
- V: 165.2 Å³ per cell
- SG: C2/m, No. 12
- E_tot: -25.197 eV/atom
- D(E_F): 0.871 states/eV/atom
- Energy relative to the elements: 2.5 eV/f.u.

The structure in POSCAR format:
```
KMo2
1.0
-1.2408 -1.7609 2.1987
-0.3251 -4.5199 -1.6487
10.2047 -4.5064 4.3045
Mo K
4 2
Direct
0.9981 0.6222 0.3816
0.3286 0.7885 0.5544
0.0019 0.3778 0.6184
0.6714 0.2115 0.4456
0.3239 0.1875 0.1646
0.6761 0.8125 0.8354
```


The following is a DFT calculation (meta-GGA SCAN) of Sr3LaTa3O12 at its PBEsol-relaxed geometry.

Output
- V: 246.6 Å³ per cell
- SG: R3m, No. 160
- Energy relative to the elements, uncorrected: -323.39 kJ/mol of atoms
- E_tot: -23.586 eV/atom
- D(E_F): 0.000 states/eV/atom

The structure in POSCAR format:
```
Sr3LaTa3O12
1.0
5.6194 0.0000 0.0000
2.8097 4.8665 0.0000
2.8097 1.6222 9.0176
O Sr La Ta
12 3 1 3
Direct
0.6273 0.1155 0.6298
0.7065 0.2079 0.8777
0.1155 0.6273 0.6298
0.3707 0.3707 0.3728
0.2079 0.7065 0.8777
0.8859 0.3707 0.3728
0.7904 0.7904 0.1265
0.7904 0.2926 0.1265
0.2926 0.7904 0.1265
0.6273 0.6273 0.6298
0.2079 0.2079 0.8777
0.3707 0.8859 0.3728
0.8638 0.8638 0.4085
0.2862 0.2862 0.1414
0.7151 0.7151 0.8546
0.1423 0.1423 0.5732
0.9997 0.9997 0.0008
0.5759 0.5759 0.2724
0.4238 0.4238 0.7285
```


The following is a DFT calculation (meta-GGA SCAN) of BaCdRh at its PBEsol-relaxed geometry.

Output
- V: 82.0 Å³ per cell
- SG: P-6m2, No. 187
- E_tot: -34.777 eV/atom
- D(E_F): 0.355 states/eV/atom
- Energy relative to the elements: -0.6 eV/f.u.

The structure in POSCAR format:
```
BaCdRh
1.0
4.5049 0.0000 0.0000
0.0000 4.5846 0.0000
0.0000 -2.2923 3.9703
Ba Rh Cd
1 1 1
Direct
0.0000 0.0000 0.0000
0.5000 0.6667 0.3333
0.5000 0.3333 0.6667
```


The following is a DFT calculation (meta-GGA SCAN) of CaNb2Ru2 at its PBEsol-relaxed geometry.

Output
- V: 99.5 Å³ per cell
- SG: I4/mmm, No. 139
- E_tot: -29.286 eV/atom
- D(E_F): 0.815 states/eV/atom
- Energy relative to the elements: -0.9 eV/f.u.

The structure in POSCAR format:
```
CaNb2Ru2
1.0
4.3291 0.0000 0.0000
0.0000 4.3291 0.0000
-2.1645 -2.1645 5.3078
Ca Ru Nb
1 2 2
Direct
0.0000 0.0000 0.0000
0.3802 0.3802 0.7604
0.6198 0.6198 0.2396
0.7500 0.2500 0.5000
0.2500 0.7500 0.5000
```


The following is a DFT calculation (meta-GGA SCAN) of K2Ge2O5 at its PBEsol-relaxed geometry.

Output
- V: 904.8 Å³ per cell
- SG: Cc, No. 9
- Energy relative to the elements, uncorrected: -184.36 kJ/mol of atoms
- E_tot: -11.465 eV/atom
- D(E_F): 0.000 states/eV/atom

The structure in POSCAR format:
```
K2Ge2O5
1.0
-5.8344 7.5620 3.7580
-9.3209 -3.4285 2.5906
-1.0632 -0.7479 10.2165
K Ge O
12 12 30
Direct
0.3826 0.8991 0.5683
0.7609 0.7892 0.4813
0.0350 0.5688 0.2141
0.3719 0.3117 0.5409
0.1627 0.7182 0.3788
0.8991 0.3826 0.0683
0.5688 0.0350 0.7141
0.3208 0.8603 0.9739
0.3117 0.3719 0.0409
0.8603 0.3208 0.4739
0.7182 0.1627 0.8788
0.7892 0.7609 0.9813
0.9759 0.4768 0.6710
0.6415 0.6073 0.8334
0.1238 0.0907 0.2770
0.4768 0.9759 0.1710
0.9993 0.9549 0.6253
0.6073 0.6415 0.3334
0.4804 0.5221 0.1764
0.5221 0.4804 0.6764
0.9549 0.9993 0.1253
0.1535 0.6105 0.7665
0.0907 0.1238 0.7770
0.6105 0.1535 0.2665
0.8303 0.9549 0.7350
0.0065 0.0015 0.4365
0.1434 0.7911 0.6466
0.9732 0.2993 0.7929
0.0524 0.5807 0.9413
0.5108 0.9680 0.9998
0.5662 0.6271 0.5227
0.0619 0.0956 0.6283
0.9549 0.8303 0.2350
0.2993 0.9732 0.2928
0.5434 0.7730 0.7588
0.6271 0.5662 0.0227
0.6146 0.4580 0.8054
0.0015 0.0065 0.9365
0.3154 0.5723 0.1454
0.0936 0.2723 0.2453
0.5938 0.8330 0.2714
0.1393 0.5150 0.6583
0.8330 0.5938 0.7714
0.5150 0.1393 0.1583
0.2723 0.0936 0.7453
0.7730 0.5434 0.2588
0.7911 0.1434 0.1466
0.4580 0.6146 0.3054
0.9680 0.5108 0.4998
0.0956 0.0619 0.1283
0.3388 0.5457 0.7691
0.5723 0.3154 0.6454
0.5807 0.0524 0.4413
0.5457 0.3388 0.2691
```


The following is a DFT calculation (meta-GGA SCAN) of Ca6Si6H2O19 at its PBEsol-relaxed geometry.

Output
- V: 440.3 Å³ per cell
- SG: P-1, No. 2
- E_tot: -10.467 eV/atom
- D(E_F): 0.000 states/eV/atom

The structure in POSCAR format:
```
Ca6Si6H2O19
1.0
7.0339 0.0022 -0.0267
-0.0084 7.3707 -0.0042
-0.0478 -1.8353 8.4941
O Si Ca H
19 6 6 2
Direct
0.9739 0.7517 0.2281
0.2761 0.4467 0.2985
0.0261 0.2483 0.7719
0.3337 0.8594 0.9595
0.9716 0.1095 0.2255
0.0000 0.0000 0.5000
0.6663 0.1406 0.0405
0.7239 0.5533 0.7015
0.3845 0.2869 0.6525
0.8482 0.4301 0.2233
0.7178 0.0495 0.7041
0.1518 0.5699 0.7767
0.0284 0.8905 0.7745
0.2822 0.9505 0.2959
0.3845 0.7906 0.6527
0.3316 0.3689 0.9577
0.6155 0.7131 0.3475
0.6155 0.2094 0.3473
0.6684 0.6311 0.0423
0.7678 0.2174 0.2108
0.2322 0.7826 0.7892
0.2303 0.3628 0.7878
0.0563 0.9545 0.3167
0.9437 0.0455 0.6833
0.7697 0.6372 0.2122
0.5000 0.0000 0.5000
0.5000 0.5000 0.5000
0.3486 0.6567 0.1429
0.3457 0.1619 0.1345
0.6543 0.8381 0.8655
0.6514 0.3433 0.8571
0.1372 0.4493 0.3082
0.8628 0.5507 0.6918
```


The following is a DFT calculation (meta-GGA SCAN) of OsSe2Cl at its PBEsol-relaxed geometry.

Output
- ΔE to the lowest computed polymorph: 440 meV per atom
- V: 76.0 Å³ per cell
- SG: R-3m, No. 166
- Energy relative to the elements, uncorrected: 47.61 kJ/mol of atoms
- E_tot: -29.510 eV/atom
- D(E_F): 0.651 states/eV/atom

The structure in POSCAR format:
```
OsSe2Cl
1.0
-0.8955 -1.5215 2.1636
1.5361 -0.1581 2.3267
-5.1132 8.4468 5.6256
Os Se Cl
1 2 1
Direct
0.0000 0.0000 0.0000
0.9286 0.9286 0.2143
0.0714 0.0714 0.7857
0.5000 0.5000 0.5000
```


What did the first record say?
The following is a DFT calculation (meta-GGA SCAN) of BeBI2 at its PBEsol-relaxed geometry.

Output
- V: 185.0 Å³ per cell
- SG: I-42d, No. 122
- Energy relative to the elements, uncorrected: 103.11 kJ/mol of atoms
- E_tot: -20.248 eV/atom
- D(E_F): 0.124 states/eV/atom

The structure in POSCAR format:
```
BeBI2
1.0
-6.0182 1.1658 1.2076
1.2449 -6.0545 -0.9102
-2.0079 -2.4969 5.3637
I B Be
4 2 2
Direct
0.0368 0.4118 0.1250
0.9632 0.8382 0.6250
0.4632 0.6250 0.4118
0.5368 0.1250 0.8382
0.5000 0.2500 0.2500
0.0000 0.0000 0.0000
0.5000 0.7500 0.7500
0.0000 0.5000 0.5000
```


- D(E_F) of number 7 (Ca6Si6H2O19)?
  0.000 states/eV/atom